[1]
Density functional theory data (PBE) for a relaxed NdHo3B4O12 crystal.

Cell: 10.1565 10.1565 8.5111 Å, 90.00 90.00 120.00°
With the nearest neighbours (Å) after each atom.
Space group R32 (No. 155, hexagonal axes)
Asymmetric unit:
Nd: 0.0000 0.0000 0.0000 (multiplicity 3)  6 O 2.47
Ho: 0.0000 0.5362 0.0000 (multiplicity 9)  6 O 2.25-2.27
B: 0.0000 0.0000 0.5000 (multiplicity 3)  3 O 1.38
B: 0.0000 0.4629 0.5000 (multiplicity 9)  3 O 1.38-1.39
O: 0.0000 0.5988 0.5000 (multiplicity 9)  1 B 1.38
O: 0.0000 0.8640 0.5000 (multiplicity 9)  1 B 1.38
O: 0.0050 0.1992 0.1715 (multiplicity 18)  1 B 1.39

Output
V: 760 Å³/cell
Magnetic moment: 0.00 μB/f.u.
Formation energy without anion corrections: -61.68 eV per formula unit

---

[2]
Density functional theory data (PBE) for a relaxed TmReN3 crystal.

Cell: 5.5455 3.6808 7.8750 Å, 90.00 110.39 90.00°
With the nearest neighbours (Å) after each atom.
Space group P2_1/m (No. 11)
Asymmetric unit:
Tm: 0.0139 0.2500 0.3149 (multiplicity 2)  6 N 2.21-2.40
Re: 0.4980 0.2500 0.8240 (multiplicity 2)  2 N 1.78-1.89
N: 0.2004 0.2500 0.6129 (multiplicity 2)  1 Re 1.89
N: 0.2116 0.7500 0.2249 (multiplicity 2)  1 Re 1.78
N: 0.4217 0.7500 0.8945 (multiplicity 2)  3 Re 2.01-2.10

Output
V: 151 Å³/cell
Magnetic moment: 0.00 μB/f.u.
Formation energy without anion corrections: -3.41 eV per formula unit

---

[3]
Density functional theory data (PBE) for a relaxed Sb2AsPt crystal.

Cell: 3.1652 3.1652 9.0346 Å, 90.00 90.00 90.00°
With the nearest neighbours (Å) after each atom.
Space group P4mm (No. 99)
Asymmetric unit:
Sb: 0.0000 0.0000 0.0000 (multiplicity 1)  4 Pt 2.99, 4 Sb 3.17
Sb: 0.5000 0.5000 0.3199 (multiplicity 1)  4 Sb 3.17, 4 As 3.49
As: 0.0000 0.0000 0.6167 (multiplicity 1)  4 Pt 2.68
Pt: 0.5000 0.5000 0.7804 (multiplicity 1)  4 As 2.68, 4 Sb 2.99

Output
V: 91 Å³/cell
Magnetic moment: 0.00 μB/f.u.
Formation energy without anion corrections: 0.21 eV per formula unit

---

[4]
Density functional theory data (PBE) for a relaxed YZrTl2Re crystal.

Cell: 5.3100 5.3100 5.0021 Å, 90.00 90.00 90.00°
With the nearest neighbours (Å) after each atom.
Space group P4/mmm (No. 123)
Asymmetric unit:
Y: 0.0000 0.0000 0.0000 (multiplicity 1)  8 Tl 3.65, 4 Zr 3.75
Zr: 0.5000 0.5000 0.0000 (multiplicity 1)  2 Re 2.50
Tl: 0.0000 0.5000 0.5000 (multiplicity 2)  2 Re 2.66
Re: 0.5000 0.5000 0.5000 (multiplicity 1)  2 Zr 2.50, 4 Tl 2.66

Output
V: 141 Å³/cell
Magnetic moment: 0.00 μB/f.u.
ΔE_f: 0.57 eV/atom

---

Which formula does entry 1 have?
NdHo3B4O12